First-principles (GGA-PBE) data for crystalline CrNi3 at its relaxed geometry, as listed in Alexandria.

Cell lengths 2.480, 3.566, 5.539 Å; angles 90.00, 63.41, 90.00 degrees
Each line ends with the local moment (μB).
Sites, in units of the cell vectors:
Ni (0.748, 0.500, 0.752)  0.07
Ni (0.500, 0.000, 0.500)  0.02
Ni (0.252, 0.500, 0.248)  0.07
Cr (0.000, 0.000, 0.000)  0.54

E_tot = -26.92 eV/cell
ΔE_f = 0.0115 eV/atom